# K2Zn2Se3

A geometry-optimized K2Zn2Se3 structure (GGA-PBE, Alexandria).

Formation energy (no corrections)   -0.936 eV/atom
Polymorph energy (0 for the lowest one)   0.000 eV per atom
DFT total energy   -3.107 eV per atom

a = 11.0332 Å, b = 11.0332 Å, c = 7.0861 Å
α = 108.20°, β = 108.20°, γ = 83.27°
Fractional coordinates of all 28 atoms:
K (0.0662, 0.9338, 0.7500)
K (0.2129, 0.7871, 0.2500)
K (0.3063, 0.4837, 0.4250)
K (0.4837, 0.3063, 0.9250)
K (0.5163, 0.6937, 0.0750)
K (0.6937, 0.5163, 0.5750)
K (0.7871, 0.2129, 0.7500)
K (0.9338, 0.0662, 0.2500)
Zn (0.0363, 0.5789, 0.7374)
Zn (0.1482, 0.3020, 0.8021)
Zn (0.3020, 0.1482, 0.3021)
Zn (0.4211, 0.9637, 0.7626)
Zn (0.5789, 0.0363, 0.2374)
Zn (0.6980, 0.8518, 0.6979)
Zn (0.8518, 0.6980, 0.1979)
Zn (0.9637, 0.4211, 0.2626)
Se (0.0557, 0.6457, 0.4384)
Se (0.0970, 0.2435, 0.0870)
Se (0.2435, 0.0970, 0.5870)
Se (0.2535, 0.5116, 0.9190)
Se (0.3543, 0.9443, 0.0616)
Se (0.4884, 0.7465, 0.5810)
Se (0.5116, 0.2535, 0.4190)
Se (0.6457, 0.0557, 0.9384)
Se (0.7465, 0.4884, 0.0810)
Se (0.7565, 0.9030, 0.4130)
Se (0.9030, 0.7565, 0.9130)
Se (0.9443, 0.3543, 0.5616)


# KZn2Se

A geometry-optimized KZn2Se structure (GGA-PBE, Alexandria).

Formation energy (no corrections)   0.059 eV/atom
DFT total energy   -1.724 eV per atom

a = 6.4232 Å, b = 6.4232 Å, c = 2.9647 Å
α = 90.00°, β = 90.00°, γ = 125.45°
Fractional coordinates of all 4 atoms:
K (0.0000, 0.0000, 0.0000)
Zn (0.0000, 0.5000, 0.5000)
Zn (0.5000, 0.0000, 0.5000)
Se (0.5000, 0.5000, 0.0000)


# KZn2Se

A geometry-optimized KZn2Se structure (GGA-PBE, Alexandria).

Formation energy (no corrections)   -0.051 eV/atom
DFT total energy   -1.833 eV per atom

a = 3.8976 Å, b = 3.8976 Å, c = 6.5982 Å
α = 90.00°, β = 90.00°, γ = 90.00°
Fractional coordinates of all 4 atoms:
K (0.0000, 0.0000, 0.0000)
Zn (0.5000, 0.5000, 0.3063)
Zn (0.5000, 0.5000, 0.6937)
Se (0.0000, 0.0000, 0.5000)


# K6ZnSe4

A geometry-optimized K6ZnSe4 structure (GGA-PBE, Alexandria).

Formation energy (no corrections)   -1.090 eV/atom
DFT total energy   -3.071 eV per atom

a = 10.2861 Å, b = 10.2861 Å, c = 7.9648 Å
α = 90.00°, β = 90.00°, γ = 120.00°
Fractional coordinates of all 22 atoms:
K (0.0534, 0.5267, 0.0000)
K (0.1476, 0.2951, 0.6802)
K (0.1476, 0.8524, 0.6802)
K (0.2951, 0.1476, 0.1802)
K (0.4733, 0.5267, 0.0000)
K (0.4733, 0.9466, 0.0000)
K (0.5267, 0.0534, 0.5000)
K (0.5267, 0.4733, 0.5000)
K (0.7049, 0.8524, 0.6802)
K (0.8524, 0.1476, 0.1802)
K (0.8524, 0.7049, 0.1802)
K (0.9466, 0.4733, 0.5000)
Zn (0.3333, 0.6667, 0.3832)
Zn (0.6667, 0.3333, 0.8832)
Se (0.1964, 0.3929, 0.2853)
Se (0.1964, 0.8036, 0.2853)
Se (0.3333, 0.6667, 0.7059)
Se (0.3929, 0.1964, 0.7853)
Se (0.6071, 0.8036, 0.2853)
Se (0.6667, 0.3333, 0.2059)
Se (0.8036, 0.1964, 0.7853)
Se (0.8036, 0.6071, 0.7853)


The highest DFT total energy belongs to which entry?
number 2


What is the formula in the second record?
KZn2Se